Run P
Computed, not measured: YTc2Ge3 after structural relaxation at the PBE-GGA level of DFT.

Cell and atoms, written as POSCAR:
```
YTc2Ge3
1.0
4.723 -3.832 0.000
4.723 3.832 0.000
0.000 0.000 5.918
Y Tc Ge
2 4 6
Direct
0.139 0.861 0.750 Y
0.861 0.139 0.250 Y
0.286 0.286 0.000 Tc
0.286 0.286 0.500 Tc
0.714 0.714 0.000 Tc
0.714 0.714 0.500 Tc
0.054 0.626 0.250 Ge
0.374 0.946 0.250 Ge
0.489 0.511 0.250 Ge
0.511 0.489 0.750 Ge
0.626 0.054 0.750 Ge
0.946 0.374 0.750 Ge
```

Values from the calculation:
Fermi-level density of states: 0.686 states/eV per atom
V: 17.9 Å³ per atom



Run Q
Computed, not measured: YTc2Ge3 after structural relaxation at the PBE-GGA level of DFT.

Cell and atoms, written as POSCAR:
```
YTc2Ge3
1.0
2.194 -5.829 0.000
2.194 5.829 0.000
0.000 0.000 8.590
Y Tc Ge
2 4 6
Direct
0.183 0.817 0.750 Y
0.817 0.183 0.250 Y
0.000 0.000 0.000 Tc
0.000 0.000 0.500 Tc
0.460 0.540 0.750 Tc
0.540 0.460 0.250 Tc
0.134 0.866 0.250 Ge
0.382 0.618 0.032 Ge
0.382 0.618 0.468 Ge
0.618 0.382 0.532 Ge
0.618 0.382 0.968 Ge
0.866 0.134 0.750 Ge
```

Values from the calculation:
Fermi-level density of states: 0.707 states/eV per atom
V: 18.3 Å³ per atom



Of all the structures shown, which is most stable? run Q, and run P is the least stable.